1.
AlFeTc2Bi: relaxed, PBE. Values from VASP.

```
&SYSTEM
  ibrav = 0, nat = 5, ntyp = 4
/
ATOMIC_SPECIES
Fe 55.84 Fe.upf
Al 26.98 Al.upf
Bi 208.98 Bi.upf
Tc 98.00 Tc.upf
ATOMIC_POSITIONS crystal
Fe 0.000 0.500 0.000
Al 0.000 0.000 0.000
Bi 0.500 0.500 0.500
Tc 0.000 0.000 0.500
Tc 0.500 0.000 0.000
CELL_PARAMETERS angstrom
-1.391 -1.554 4.107
-2.403 -3.049 -1.968
3.580 -2.896 0.117
```

Output
The value obtained for the energy relative to the elements is 5.38 eV/f.u.



2.
Er4Mg2Pb: relaxed, PBE. Values from VASP.

```
&SYSTEM
  ibrav = 0, nat = 7, ntyp = 3
/
ATOMIC_SPECIES
Er 167.26 Er.upf
Mg 24.30 Mg.upf
Pb 207.20 Pb.upf
ATOMIC_POSITIONS crystal
Er 0.500 0.000 0.000
Er 0.500 0.500 0.500
Er 0.000 0.000 0.500
Er 0.000 0.500 0.000
Mg 0.500 0.500 0.000
Mg 0.500 0.000 0.500
Pb 0.000 0.000 0.000
CELL_PARAMETERS angstrom
6.104 0.107 -2.083
-3.012 5.227 -2.284
0.062 -0.107 6.449
```

Output
The value obtained for the energy relative to the elements is -0.25 eV/f.u.



3.
Ac5Nd2Ir5: relaxed, PBE. Values from VASP.

```
&SYSTEM
  ibrav = 0, nat = 12, ntyp = 3
/
ATOMIC_SPECIES
Ac 227.00 Ac.upf
Nd 144.24 Nd.upf
Ir 192.22 Ir.upf
ATOMIC_POSITIONS crystal
Ac 0.500 0.500 0.500
Ac 0.346 0.261 0.048
Ac 0.261 0.121 0.357
Ac 0.739 0.879 0.643
Ac 0.654 0.739 0.952
Nd 0.958 0.297 0.787
Nd 0.042 0.703 0.213
Ir 0.886 0.807 0.420
Ir 0.311 0.570 0.808
Ir 0.689 0.430 0.192
Ir 0.114 0.193 0.580
Ir 0.000 0.000 0.000
CELL_PARAMETERS angstrom
-2.167 -1.282 3.395
0.263 -7.349 0.024
9.715 -3.621 7.465
```

Output
The value obtained for the energy relative to the elements is -7.14 eV/f.u.



4.
LiMnBe2: relaxed, PBE. Values from VASP.

```
&SYSTEM
  ibrav = 0, nat = 4, ntyp = 3
/
ATOMIC_SPECIES
Be 9.01 Be.upf
Li 6.94 Li.upf
Mn 54.94 Mn.upf
ATOMIC_POSITIONS crystal
Be 0.000 0.000 0.000
Be 0.250 0.750 0.500
Li 0.500 0.500 0.000
Mn 0.750 0.250 0.500
CELL_PARAMETERS angstrom
-3.674 0.955 -1.936
-3.455 -1.407 2.060
3.458 2.221 1.123
```

Output
The value obtained for the energy relative to the elements is 1.27 eV/f.u.



5.
NdBeIr: relaxed, PBE. Values from VASP.

```
&SYSTEM
  ibrav = 0, nat = 12, ntyp = 3
/
ATOMIC_SPECIES
Nd 144.24 Nd.upf
Be 9.01 Be.upf
Ir 192.22 Ir.upf
ATOMIC_POSITIONS crystal
Nd 0.250 0.807 0.506
Nd 0.750 0.307 0.994
Nd 0.250 0.693 0.006
Nd 0.750 0.193 0.494
Be 0.750 0.571 0.330
Be 0.750 0.929 0.830
Be 0.250 0.071 0.170
Be 0.250 0.429 0.670
Ir 0.750 0.940 0.170
Ir 0.750 0.560 0.670
Ir 0.250 0.060 0.830
Ir 0.250 0.440 0.330
CELL_PARAMETERS angstrom
-4.062 -0.035 0.869
-1.496 -2.712 -7.106
0.560 -6.484 2.357
```

Output
Its energy above the most stable polymorph in this dataset is 0.0718 eV per atom. The value obtained for the energy relative to the elements is -1.48 eV/f.u.



6.
Hf2CoRu2: relaxed, PBE. Values from VASP.

```
&SYSTEM
  ibrav = 0, nat = 10, ntyp = 3
/
ATOMIC_SPECIES
Ru 101.07 Ru.upf
Hf 178.49 Hf.upf
Co 58.93 Co.upf
ATOMIC_POSITIONS crystal
Ru 0.362 0.862 0.000
Ru 0.862 0.638 0.000
Ru 0.638 0.138 0.000
Ru 0.138 0.362 0.000
Hf 0.179 0.679 0.500
Hf 0.679 0.821 0.500
Hf 0.821 0.321 0.500
Hf 0.321 0.179 0.500
Co 0.000 0.000 0.000
Co 0.500 0.500 0.000
CELL_PARAMETERS angstrom
-1.834 -1.502 -5.984
-4.708 -3.695 2.370
-2.523 3.197 -0.029
```

Output
The value obtained for the energy relative to the elements is -1.22 eV/f.u.



7.
Tb5Er2TmIn: relaxed, PBE. Values from VASP.

```
&SYSTEM
  ibrav = 0, nat = 18, ntyp = 4
/
ATOMIC_SPECIES
Tb 158.93 Tb.upf
Er 167.26 Er.upf
Tm 168.93 Tm.upf
In 114.82 In.upf
ATOMIC_POSITIONS crystal
Tb 0.381 0.761 0.008
Tb 0.711 0.423 0.809
Tb 0.500 0.000 0.758
Tb 0.289 0.578 0.708
Tb 0.988 0.975 0.508
Tb 0.619 0.239 0.508
Tb 0.289 0.577 0.309
Tb 0.500 0.000 0.258
Tb 0.711 0.422 0.208
Tb 0.012 0.025 0.008
Er 0.884 0.769 0.799
Er 0.116 0.232 0.718
Er 0.116 0.231 0.299
Er 0.884 0.768 0.218
Tm 0.794 0.588 0.508
Tm 0.206 0.412 0.008
In 0.596 0.192 0.008
In 0.404 0.808 0.508
CELL_PARAMETERS angstrom
5.345 0.000 0.000
-2.672 10.026 0.000
0.000 0.000 10.484
```

Output
The value obtained for the energy relative to the elements is -0.01 eV/f.u.



8.
NaAg2F6: relaxed, PBE. Values from VASP.

```
&SYSTEM
  ibrav = 0, nat = 9, ntyp = 3
/
ATOMIC_SPECIES
Na 22.99 Na.upf
Ag 107.87 Ag.upf
F 19.00 F.upf
ATOMIC_POSITIONS crystal
Na 0.000 0.500 0.500
Ag 0.183 0.758 0.876
Ag 0.817 0.242 0.124
F 0.703 0.708 0.886
F 0.297 0.292 0.114
F 0.011 0.801 0.177
F 0.360 0.695 0.586
F 0.989 0.199 0.823
F 0.640 0.305 0.414
CELL_PARAMETERS angstrom
-1.026 3.866 -1.084
-1.240 0.200 -6.036
-6.645 0.170 -1.025
```

Output
For the formation energy without anion corrections, the calculation gives -1.461 eV/atom.



9.
La4SiTeBr2: relaxed, PBE. Values from VASP.

```
&SYSTEM
  ibrav = 0, nat = 8, ntyp = 4
/
ATOMIC_SPECIES
La 138.91 La.upf
Si 28.09 Si.upf
Te 127.60 Te.upf
Br 79.90 Br.upf
ATOMIC_POSITIONS crystal
La 0.000 0.738 0.724
La 0.000 0.262 0.276
La 0.500 0.724 0.283
La 0.500 0.276 0.717
Si 0.000 0.500 0.500
Te 0.500 0.500 0.000
Br 0.000 0.000 0.000
Br 0.500 0.000 0.500
CELL_PARAMETERS angstrom
4.434 0.000 0.000
0.000 7.565 -0.090
0.000 2.726 7.421
```

Output
For the formation energy without anion corrections, the calculation gives -1.318 eV/atom.



10.
Sm2Ho3PuS6: relaxed, PBE. Values from VASP.

```
&SYSTEM
  ibrav = 0, nat = 12, ntyp = 4
/
ATOMIC_SPECIES
Sm 150.36 Sm.upf
Ho 164.93 Ho.upf
Pu 244.00 Pu.upf
S 32.06 S.upf
ATOMIC_POSITIONS crystal
Sm 0.835 0.669 0.670
Sm 0.165 0.331 0.330
Ho 0.500 0.500 0.000
Ho 0.833 0.164 0.667
Ho 0.167 0.836 0.333
Pu 0.500 0.000 0.000
S 0.332 0.923 0.663
S 0.665 0.590 0.329
S 0.668 0.077 0.337
S 0.997 0.253 0.994
S 0.003 0.747 0.006
S 0.335 0.410 0.671
CELL_PARAMETERS angstrom
3.914 0.000 0.000
0.000 7.919 0.257
-1.957 -2.308 8.280
```

Output
For the formation energy without anion corrections, the calculation gives -1.980 eV/atom.



11.
MgNbAu: relaxed, PBE. Values from VASP.

```
&SYSTEM
  ibrav = 0, nat = 6, ntyp = 3
/
ATOMIC_SPECIES
Mg 24.30 Mg.upf
Au 196.97 Au.upf
Nb 92.91 Nb.upf
ATOMIC_POSITIONS crystal
Mg 0.239 0.303 0.380
Mg 0.920 0.223 0.752
Au 0.965 0.743 0.510
Au 0.309 0.801 0.151
Nb 0.575 0.293 0.084
Nb 0.642 0.786 0.773
CELL_PARAMETERS angstrom
-1.566 4.693 6.406
-0.962 -3.089 4.122
2.641 -1.304 0.802
```

Output
The value obtained for the energy relative to the elements is -0.46 eV/f.u.



12.
Ca2AgSb: relaxed, PBE. Values from VASP.

```
&SYSTEM
  ibrav = 0, nat = 4, ntyp = 3
/
ATOMIC_SPECIES
Sb 121.76 Sb.upf
Ca 40.08 Ca.upf
Ag 107.87 Ag.upf
ATOMIC_POSITIONS crystal
Sb 0.500 0.000 0.500
Ca 0.000 0.000 0.000
Ca 0.500 0.500 0.000
Ag 0.000 0.500 0.500
CELL_PARAMETERS angstrom
-1.170 -1.105 4.951
5.035 -0.866 0.996
0.468 3.838 0.966
```

Output
For the formation energy without anion corrections, the calculation gives -0.659 eV/atom.



13.
TePBr2: relaxed, PBE. Values from VASP.

```
&SYSTEM
  ibrav = 0, nat = 4, ntyp = 3
/
ATOMIC_SPECIES
Br 79.90 Br.upf
P 30.97 P.upf
Te 127.60 Te.upf
ATOMIC_POSITIONS crystal
Br 0.000 0.000 0.000
Br 0.500 0.500 0.000
P 0.250 0.750 0.500
Te 0.750 0.250 0.500
CELL_PARAMETERS angstrom
5.510 0.000 0.000
1.632 5.263 0.000
-3.571 -2.631 3.269
```

Output
Its energy above the most stable polymorph in this dataset is 0.8316 eV per atom. For the formation energy without anion corrections, the calculation gives 0.762 eV/atom.



14.
PrAs2Pd3: relaxed, PBE. Values from VASP.

```
&SYSTEM
  ibrav = 0, nat = 12, ntyp = 3
/
ATOMIC_SPECIES
Pr 140.91 Pr.upf
As 74.92 As.upf
Pd 106.42 Pd.upf
ATOMIC_POSITIONS crystal
Pr 0.885 0.500 0.500
Pr 0.115 0.000 0.000
As 0.165 0.000 0.679
As 0.165 0.000 0.321
As 0.835 0.500 0.179
As 0.835 0.500 0.821
Pd 0.332 0.500 0.743
Pd 0.474 0.000 0.500
Pd 0.332 0.500 0.257
Pd 0.668 0.000 0.243
Pd 0.526 0.500 0.000
Pd 0.668 0.000 0.757
CELL_PARAMETERS angstrom
4.915 0.000 0.000
0.000 4.623 0.000
0.000 0.000 10.501
```

Output
Its energy above the most stable polymorph in this dataset is 0.1696 eV per atom. The value obtained for the energy relative to the elements is -3.90 eV/f.u.



15.
ErS8: relaxed, PBE. Values from VASP.

```
&SYSTEM
  ibrav = 0, nat = 9, ntyp = 2
/
ATOMIC_SPECIES
Er 167.26 Er.upf
S 32.06 S.upf
ATOMIC_POSITIONS crystal
Er 0.000 0.000 0.000
S 0.619 0.000 0.761
S 0.381 0.000 0.239
S 0.000 0.401 0.599
S 0.381 0.239 0.000
S 0.599 0.401 0.401
S 0.619 0.761 0.000
S 0.000 0.599 0.401
S 0.401 0.599 0.599
CELL_PARAMETERS angstrom
4.119 0.000 1.073
2.059 7.377 0.537
0.199 0.000 7.675
```

Output
For the formation energy without anion corrections, the calculation gives 0.177 eV/atom.



16.
CaPb2IO6: relaxed, PBE. Values from VASP.

```
&SYSTEM
  ibrav = 0, nat = 20, ntyp = 4
/
ATOMIC_SPECIES
Ca 40.08 Ca.upf
Pb 207.20 Pb.upf
I 126.90 I.upf
O 16.00 O.upf
ATOMIC_POSITIONS crystal
Ca 0.500 0.000 0.000
Ca 0.000 0.500 0.500
Pb 0.006 0.957 0.258
Pb 0.506 0.543 0.758
Pb 0.994 0.043 0.742
Pb 0.494 0.457 0.242
I 0.500 0.000 0.500
I 0.000 0.500 0.000
O 0.285 0.682 0.033
O 0.785 0.818 0.533
O 0.715 0.318 0.967
O 0.215 0.182 0.467
O 0.317 0.730 0.450
O 0.817 0.770 0.950
O 0.683 0.270 0.550
O 0.183 0.230 0.050
O 0.915 0.536 0.231
O 0.415 0.964 0.731
O 0.085 0.464 0.769
O 0.585 0.036 0.269
CELL_PARAMETERS angstrom
-3.053 -4.590 1.997
1.055 -2.989 -5.257
7.079 -3.344 3.323
```

Output
For the formation energy without anion corrections, the calculation gives -1.175 eV/atom.



17.
AcNbN: relaxed, PBE. Values from VASP.

```
&SYSTEM
  ibrav = 0, nat = 3, ntyp = 3
/
ATOMIC_SPECIES
Ac 227.00 Ac.upf
Nb 92.91 Nb.upf
N 14.01 N.upf
ATOMIC_POSITIONS crystal
Ac 0.979 0.979 0.959
Nb 0.272 0.272 0.543
N 0.749 0.749 0.498
CELL_PARAMETERS angstrom
-1.729 -2.566 -0.455
2.037 -0.989 -2.158
3.086 -1.188 5.724
```

Output
Its energy above the most stable polymorph in this dataset is 0.0000 eV per atom. For the formation energy without anion corrections, the calculation gives -0.068 eV/atom.



18.
Ta2TcHPd: relaxed, PBE. Values from VASP.

```
&SYSTEM
  ibrav = 0, nat = 5, ntyp = 4
/
ATOMIC_SPECIES
H 1.01 H.upf
Tc 98.00 Tc.upf
Pd 106.42 Pd.upf
Ta 180.95 Ta.upf
ATOMIC_POSITIONS crystal
H 0.000 0.000 0.000
Tc 0.500 0.500 0.500
Pd 0.000 0.000 0.500
Ta 0.000 0.500 0.000
Ta 0.500 0.000 0.000
CELL_PARAMETERS angstrom
4.208 0.000 0.000
0.000 4.208 0.000
0.000 0.000 3.819
```

Output
Its energy above the most stable polymorph in this dataset is 0.0251 eV per atom.



19.
LiPb: relaxed, PBE. Values from VASP.

```
&SYSTEM
  ibrav = 0, nat = 8, ntyp = 2
/
ATOMIC_SPECIES
Li 6.94 Li.upf
Pb 207.20 Pb.upf
ATOMIC_POSITIONS crystal
Li 0.000 0.000 0.000
Li 0.000 0.500 0.500
Li 0.500 0.000 0.500
Li 0.500 0.500 0.000
Pb 0.500 0.500 0.500
Pb 0.500 0.000 0.000
Pb 0.000 0.500 0.000
Pb 0.000 0.000 0.500
CELL_PARAMETERS angstrom
-4.364 -3.376 -1.745
3.635 -2.932 -3.417
1.110 -3.673 4.332
```

Output
The value obtained for the energy relative to the elements is 0.03 eV/f.u.



20.
Pa2BiMo: relaxed, PBE. Values from VASP.

```
&SYSTEM
  ibrav = 0, nat = 4, ntyp = 3
/
ATOMIC_SPECIES
Mo 95.94 Mo.upf
Pa 231.04 Pa.upf
Bi 208.98 Bi.upf
ATOMIC_POSITIONS crystal
Mo 0.500 0.500 0.000
Pa 0.000 0.000 0.773
Pa 0.000 0.000 0.227
Bi 0.500 0.500 0.500
CELL_PARAMETERS angstrom
3.869 0.000 0.000
0.000 3.869 0.000
0.000 0.000 6.413
```

Output
Its energy above the most stable polymorph in this dataset is 0.0000 eV per atom. The value obtained for the energy relative to the elements is 0.43 eV/f.u.



21.
BaMgTl2F6: relaxed, PBE. Values from VASP.

```
&SYSTEM
  ibrav = 0, nat = 20, ntyp = 4
/
ATOMIC_SPECIES
Ba 137.33 Ba.upf
Mg 24.30 Mg.upf
Tl 204.38 Tl.upf
F 19.00 F.upf
ATOMIC_POSITIONS crystal
Ba 0.500 0.000 0.000
Ba 0.000 0.500 0.500
Mg 0.500 0.000 0.500
Mg 0.000 0.500 0.000
Tl 0.027 0.004 0.233
Tl 0.527 0.496 0.733
Tl 0.973 0.996 0.767
Tl 0.473 0.504 0.267
F 0.213 0.731 0.053
F 0.713 0.769 0.553
F 0.787 0.269 0.947
F 0.287 0.231 0.447
F 0.291 0.765 0.452
F 0.791 0.735 0.952
F 0.709 0.235 0.548
F 0.209 0.265 0.048
F 0.934 0.493 0.214
F 0.434 0.007 0.714
F 0.066 0.507 0.786
F 0.566 0.993 0.286
CELL_PARAMETERS angstrom
-5.813 3.139 -1.020
-0.024 -1.955 -5.881
-3.820 -7.798 2.608
```

Output
For the formation energy without anion corrections, the calculation gives -2.881 eV/atom.



22.
Ce2PmHo3P6: relaxed, PBE. Values from VASP.

```
&SYSTEM
  ibrav = 0, nat = 12, ntyp = 4
/
ATOMIC_SPECIES
Ce 140.12 Ce.upf
Pm 145.00 Pm.upf
Ho 164.93 Ho.upf
P 30.97 P.upf
ATOMIC_POSITIONS crystal
Ce 0.333 0.667 0.000
Ce 0.667 0.333 0.000
Pm 0.000 0.000 0.000
Ho 0.166 0.834 0.500
Ho 0.834 0.166 0.500
Ho 0.500 0.500 0.500
P 0.915 0.578 0.745
P 0.748 0.748 0.256
P 0.085 0.422 0.255
P 0.578 0.915 0.745
P 0.252 0.252 0.744
P 0.422 0.085 0.255
CELL_PARAMETERS angstrom
7.007 -0.001 0.001
-3.502 6.068 0.001
-1.169 -2.023 6.587
```

Output
The value obtained for the energy relative to the elements is -18.86 eV/f.u.



23.
TiRhSe2: relaxed, PBE. Values from VASP.

```
&SYSTEM
  ibrav = 0, nat = 4, ntyp = 3
/
ATOMIC_SPECIES
Ti 47.87 Ti.upf
Rh 102.91 Rh.upf
Se 78.96 Se.upf
ATOMIC_POSITIONS crystal
Ti 0.505 0.505 0.485
Rh 0.658 0.658 0.026
Se 0.085 0.085 0.744
Se 0.252 0.252 0.245
CELL_PARAMETERS angstrom
3.548 0.000 0.000
1.774 3.073 0.000
1.774 1.024 6.484
```

Output
Its energy above the most stable polymorph in this dataset is 0.0000 eV per atom. For the formation energy without anion corrections, the calculation gives -0.581 eV/atom.